No. 1
DFT (PBE) results for crystalline Ti5Mn4Mo at its relaxed geometry.

Energy of formation from the pure elements = -192 meV per atom
M_tot = 1.90 μB per formula unit
Total DFT energy (no corrections) = -8.89 eV/atom

Cell: 2.9984 2.9984 15.3911 Å, 90.00 90.00 90.00°
Closest atoms and distances in Å follow each position.
Atoms (fractional coordinates):
Ti  0.5000  0.5000  0.1152  4 Mn 2.55, 4 Mo 2.76
Ti  0.5000  0.5000  0.3061  8 Mn 2.59-2.61
Ti  0.5000  0.5000  0.5000  8 Mn 2.59
Ti  0.5000  0.5000  0.6939  8 Mn 2.59-2.61
Ti  0.5000  0.5000  0.8848  4 Mn 2.55, 4 Mo 2.76
Mn  0.0000  0.0000  0.2077  8 Ti 2.55-2.61
Mn  0.0000  0.0000  0.4033  8 Ti 2.59
Mn  0.0000  0.0000  0.5967  8 Ti 2.59
Mn  0.0000  0.0000  0.7923  8 Ti 2.55-2.61
Mo  0.0000  0.0000  0.0000  8 Ti 2.76, 4 Mo 3.00

***

No. 2
DFT (PBE) results for crystalline TlTe2Ir at its relaxed geometry.

E above lowest polymorph = 74.8 kJ per mole of atoms
M_tot = 0.00 μB per formula unit
ΔE_f (raw) = 0.55 eV per atom
Total DFT energy (no corrections) = -3.83 eV/atom

Cell: 3.3307 5.3215 5.3215 Å, 90.00 90.00 90.00°
Closest atoms and distances in Å follow each position.
Atoms (fractional coordinates):
Ir  0.5000  0.0000  0.5000  8 Te 3.14, 2 Ir 3.33
Te  0.0000  0.0000  0.0000  4 Tl 3.14, 4 Ir 3.14, 2 Te 3.33
Te  0.0000  0.5000  0.5000  4 Tl 3.14, 4 Ir 3.14, 2 Te 3.33
Tl  0.5000  0.5000  0.0000  8 Te 3.14, 2 Tl 3.33

***

No. 3
DFT (PBE) results for crystalline Pa3S4 at its relaxed geometry.

M_tot = 0.68 μB per formula unit
ΔE_f (raw) = -1.41 eV per atom
Total DFT energy (no corrections) = -7.84 eV/atom

Cell: 4.0228 4.0228 12.8371 Å, 80.99 80.99 60.00°
Closest atoms and distances in Å follow each position.
Atoms (fractional coordinates):
Pa  0.5000  0.5000  0.5000  6 S 2.79
Pa  0.5828  0.5828  0.2516  6 S 2.71-2.82
Pa  0.4172  0.4172  0.7484  6 S 2.71-2.82
S  0.7135  0.7135  0.8595  3 Pa 2.71
S  0.8740  0.8740  0.3778  6 Pa 2.79-2.82
S  0.2865  0.2865  0.1405  3 Pa 2.71
S  0.1260  0.1260  0.6222  6 Pa 2.79-2.82

***

No. 4
DFT (PBE) results for crystalline Ce4As3H at its relaxed geometry.

M_tot = 4.22 μB per formula unit
Total DFT energy (no corrections) = -6.17 eV/atom

Cell: 5.9037 5.9034 11.6863 Å, 90.00 90.00 90.00°
Closest atoms and distances in Å follow each position.
Atoms (fractional coordinates):
Ce  0.0653  0.7750  0.0000  1 H 2.57
Ce  0.5915  0.2489  0.0000  1 H 2.57
Ce  0.0672  0.2489  0.2479  1 H 2.92, 5 As 2.95
Ce  0.5672  0.7511  0.2521  1 H 2.92, 5 As 2.95
Ce  0.0915  0.7511  0.5000  1 H 2.57
Ce  0.5653  0.2250  0.5000  1 H 2.57
Ce  0.5672  0.7511  0.7479  1 H 2.92, 5 As 2.95
Ce  0.0672  0.2489  0.7521  1 H 2.92, 5 As 2.95
As  0.5653  0.7491  0.0000  6 Ce 2.95-2.96
As  0.0672  0.7487  0.2500  6 Ce 2.93-2.95
As  0.5672  0.2513  0.2500  6 Ce 2.93-2.95
As  0.0653  0.2509  0.5000  6 Ce 2.95-2.96
As  0.5672  0.2513  0.7500  6 Ce 2.93-2.95
As  0.0672  0.7487  0.7500  6 Ce 2.93-2.95
H  0.0244  0.2081  0.0000  2 Ce 2.57
H  0.5244  0.7919  0.5000  2 Ce 2.57

***

> Among the records above, which one has the lowest total DFT energy (no corrections)?

Ti5Mn4Mo

***

> Number 4 is which compound?

Ce4As3H